1.
A plane-wave DFT calculation with PBE-GGA was carried out for a relaxed structure of RbPdPb3.

Geometry as POSCAR:
```
RbPdPb3
1.0
-0.353 1.170 -4.268
-8.757 -1.587 0.289
2.402 8.318 2.081
Pb Pd Rb
6 2 2
direct
0.500 0.000 0.000
0.000 0.500 0.500
0.000 0.685 0.914
0.000 0.086 0.315
0.000 0.315 0.086
0.000 0.914 0.685
0.500 0.298 0.298
0.500 0.702 0.702
0.500 0.281 0.719
0.500 0.719 0.281
```

Energy of formation from the pure elements in eV/atom: -0.17
Spin magnetization in μB per formula unit: 0.00

---

2.
A plane-wave DFT calculation with PBE-GGA was carried out for a relaxed structure of MgIn2Ag.

Geometry as POSCAR:
```
MgIn2Ag
1.0
-2.010 -0.034 -5.416
-3.108 -2.983 3.849
-2.594 1.924 0.305
Mg Ag In
1 1 2
direct
0.500 0.000 0.500
0.000 0.500 0.500
0.000 0.000 0.000
0.500 0.500 0.000
```

Energy of formation from the pure elements in eV/atom: 0.02
Spin magnetization in μB per formula unit: 0.00

---

3.
A plane-wave DFT calculation with PBE-GGA was carried out for a relaxed structure of VPdS3.

Geometry as POSCAR:
```
VPdS3
1.0
4.536 0.000 0.000
0.000 4.536 0.000
0.000 0.000 4.536
S V Pd
3 1 1
direct
0.000 0.500 0.000
0.500 0.000 0.000
0.000 0.000 0.500
0.000 0.000 0.000
0.500 0.500 0.500
```

Formation energy without anion corrections in eV/f.u.: 0.6
Spin magnetization in μB per formula unit: 0.60

---

4.
A plane-wave DFT calculation with PBE-GGA was carried out for a relaxed structure of CePrPb6.

Geometry as POSCAR:
```
CePrPb6
1.0
4.931 0.000 0.000
0.000 4.931 0.000
0.000 0.000 9.865
Ce Pb Pr
1 6 1
direct
0.000 0.000 0.000
0.500 0.500 0.000
0.500 0.000 0.248
0.500 0.500 0.500
0.500 0.000 0.752
0.000 0.500 0.752
0.000 0.500 0.248
0.000 0.000 0.500
```

Energy of formation from the pure elements in eV/atom: -0.37
Spin magnetization in μB per formula unit: 1.06

---

5.
A plane-wave DFT calculation with PBE-GGA was carried out for a relaxed structure of Pm5Ga4Ag.

Geometry as POSCAR:
```
Pm5Ga4Ag
1.0
-2.239 -0.622 2.815
-1.503 -2.790 -1.812
12.620 -11.645 7.460
Pm Ga Ag
5 4 1
direct
0.500 0.500 0.500
0.500 0.500 0.303
0.500 0.500 0.106
0.500 0.500 0.697
0.500 0.500 0.894
0.000 0.000 0.202
0.000 0.000 0.798
0.000 0.000 0.402
0.000 0.000 0.598
0.000 0.000 0.000
```

Energy of formation from the pure elements in eV/atom: -0.51
Spin magnetization in μB per formula unit: 0.00